{"formula": "Ac2Pm4Nd2Dy", "functional": "PBE", "state": "relaxed", "cell": [[-3.4914, -0.8155, -1.1491], [2.7216, -8.6089, 4.0080], [-3.6917, 6.7399, 6.4335]], "species": ["Ac", "Pm", "Pm", "Nd", "Ac", "Nd", "Pm", "Pm", "Dy"], "fractional_positions": [[0.1455, 0.2910, 0.6647], [0.1838, 0.3675, 0.3306], [0.8162, 0.6325, 0.6694], [0.6643, 0.3286, 0.0039], [0.8545, 0.7090, 0.3353], [0.3357, 0.6714, 0.9961], [0.4816, 0.9633, 0.6813], [0.5184, 0.0367, 0.3187], [0.0000, 0.0000, 0.0000]], "formation_enthalpy_0k_ev_per_atom": 0.0320, "mass_density_g_cm3": 7.5, "magmom_total_mub_per_cell": 0.00, "volume_a3_per_atom": 36.6}

---

{"formula": "YAu3N", "functional": "PBE", "state": "relaxed", "cell": [[-1.5775, 3.4047, 4.1920], [-4.4388, 1.6701, -3.0268], [-3.0760, -4.1560, 2.2179]], "species": ["Y", "N", "Au", "Au", "Au"], "fractional_positions": [[0.0000, 0.0000, 0.0000], [0.5000, 0.5000, 0.5000], [0.0000, 0.0000, 0.5000], [0.5000, 0.0000, 0.0000], [0.0000, 0.5000, 0.0000]], "e_form_raw_ev_per_fu": 6.72, "de_polymorph_mev_per_atom": 1047, "mass_density_g_cm3": 6.5, "magmom_total_mub_per_cell": 3.00, "volume_a3_per_atom": 35.6}

---

{"formula": "ZrCdTe2N", "functional": "PBE", "state": "relaxed", "cell": [[-1.8984, -5.1239, -1.3826], [-1.0766, -1.0661, 5.4290], [-3.7480, 1.5092, -0.4469]], "species": ["Te", "N", "Te", "Cd", "Zr"], "fractional_positions": [[0.5000, 0.0000, 0.0000], [0.0000, 0.0000, 0.5000], [0.0000, 0.5000, 0.0000], [0.0000, 0.0000, 0.0000], [0.5000, 0.5000, 0.5000]], "e_form_raw_ev_per_fu": 4.35, "de_polymorph_mev_per_atom": 884, "mass_density_g_cm3": 6.1, "magmom_total_mub_per_cell": 0.56, "volume_a3_per_atom": 25.8}